A relaxed Mg2MnAs2Ru crystal, computed with PBE-GGA.

Cell: 7.442 7.442 7.442 Å, 135.98 65.74 133.77°
Fractional coordinates of all 12 atoms:
Mg  0.161  0.242  0.403
Mg  0.339  0.742  0.081
Mg  0.661  0.258  0.919
Mg  0.839  0.758  0.597
Mn  0.250  0.750  0.500
Mn  0.750  0.250  0.500
As  0.122  0.742  0.864
As  0.378  0.242  0.620
As  0.622  0.758  0.380
As  0.878  0.258  0.136
Ru  0.250  0.250  0.000
Ru  0.750  0.750  0.000

Values from the calculation:
Total energy ... -5.513 eV/atom
Energy of formation ... -357.0 meV/atom
SG ... Ibam